(1)
## DyCo5P2 (GGA-PBE)

Data for a geometry-optimized DyCo5P2 structure.

Lattice parameters (Å, degrees): 3.5710 5.7212 5.7212 67.86 71.82 71.82
With the nearest neighbours (Å) after each atom.
Sites, in units of the cell vectors:
P 0.7558 0.7442 0.7442  7 Co 2.15-2.32
P 0.2442 0.2558 0.2558  7 Co 2.15-2.32
Co 0.6496 0.1593 0.5414  3 P 2.18-2.32, 1 Co 2.44
Co 0.3504 0.4586 0.8407  3 P 2.18-2.32, 1 Co 2.44
Co 0.0000 0.5000 0.5000  2 P 2.15
Co 0.6496 0.5414 0.1593  3 P 2.18-2.32, 1 Co 2.44
Co 0.3504 0.8407 0.4586  3 P 2.18-2.32, 1 Co 2.44
Dy 0.0000 0.0000 0.0000  4 P 2.87, 10 Co 2.97-3.19

Calculated values
- Electronic total energy: -7.015 eV/atom

(2)
## K2CdAu2 (GGA-PBE)

Data for a geometry-optimized K2CdAu2 structure.

Lattice parameters (Å, degrees): 7.6660 7.6660 5.0411 90.00 90.00 90.00
With the nearest neighbours (Å) after each atom.
Sites, in units of the cell vectors:
Au 0.8679 0.6321 0.0000  1 Au 2.86, 2 Cd 3.00
Au 0.3679 0.8679 0.0000  1 Au 2.86, 2 Cd 3.00
Au 0.6321 0.1321 0.0000  1 Au 2.86, 2 Cd 3.00
Au 0.1321 0.3679 0.0000  1 Au 2.86, 2 Cd 3.00
K 0.8297 0.3297 0.5000  6 Au 3.31-3.44, 1 K 3.69
K 0.1703 0.6703 0.5000  6 Au 3.31-3.44, 1 K 3.69
K 0.6703 0.8297 0.5000  6 Au 3.31-3.44, 1 K 3.69
K 0.3297 0.1703 0.5000  6 Au 3.31-3.44, 1 K 3.69
Cd 0.0000 0.0000 0.0000  4 Au 3.00
Cd 0.5000 0.5000 0.0000  4 Au 3.00

Calculated values
- Energy above the most stable polymorph in this dataset: 49 meV per atom
- Electronic total energy: -2.170 eV/atom

no.,formation energy from the elements (eV per atom),DOS(E_F) (states/eV/atom)
1,-0.65,1.124
2,-0.24,0.289